SrSc2Pd3 after structural relaxation. Source: Alexandria, functional GGA-PBE.

Calculated values
- DFT total energy (eV/atom) = -5.773
- space-group type = P4/mmm
- spin magnetization (μB/f.u.) = 0.0
- calculated formation energy (eV per atom) = -0.785

Lattice parameters (Å, degrees): 3.385 3.385 10.720 90.00 90.00 90.00
Fractional coordinates of all 6 atoms:
1 Sr 0.000 0.000 0.000
2 Sc 0.000 0.000 0.344
3 Sc 0.000 0.000 0.656
4 Pd 0.500 0.500 0.213
5 Pd 0.500 0.500 0.500
6 Pd 0.500 0.500 0.787